Computed, not measured: crystalline K2AlAu at its relaxed geometry at the PBE-GGA level of DFT.

abc: 3.6751 3.6751 10.0219
angles: 90.00 90.00 90.00
Space group P4mm (No. 99)
Unique sites:
K1 0.0000 0.0000 0.0000
K2 0.5000 0.5000 0.4086
Al1 0.0000 0.0000 0.6680
Au1 0.5000 0.5000 0.7447

Properties
DOS at the Fermi energy (states/eV/f.u.): 2.78
Volume (Å³/atom): 33.84
Relative energy among the computed polymorphs (meV per atom): 99
ΔH_f (0 K) (eV per atom): -0.0755
Energy (eV per atom): -2.3792